OsPd2Se6 | PBE | relaxed

Values from the calculation:
- Size of the total moment: 0.00 Bohr magnetons per cell
- E_form (uncorrected): -0.105 eV/atom

Cell and atoms, written as extended XYZ:
```
18
Lattice="6.7391 0.0000 0.9565 0.0000 6.7274 0.0000 0.4470 0.0000 8.8066" Properties=species:S:1:pos:R:3 pbc="T T T"
Os 3.3695 3.3637 0.4783
Os 0.2235 0.0000 4.4033
Pd 0.5561 2.4196 7.3737
Pd 3.4840 5.7833 6.3144
Pd 3.7021 0.9441 3.4487
Pd 6.6300 4.3078 2.3894
Se 5.9207 6.5980 3.1291
Se 5.7390 4.6639 6.0443
Se 5.9518 4.5063 8.5625
Se 4.8273 1.1425 6.0822
Se 5.0401 1.3002 8.6004
Se 4.4114 3.2342 2.7090
Se 1.2654 0.1295 6.6340
Se 1.4471 2.0635 3.7188
Se 1.2343 2.2212 1.2006
Se 2.3588 5.5849 3.6810
Se 2.1460 5.4272 1.1627
Se 2.7747 3.4932 7.0542
```

---

SrOsPd2Se | PBE | relaxed

Values from the calculation:
- Size of the total moment: 0.00 Bohr magnetons per cell
- E_form (uncorrected): 0.070 eV/atom

Cell and atoms, written as extended XYZ:
```
5
Lattice="5.0881 0.0000 0.0000 0.0000 4.5980 0.0000 0.0000 0.0000 5.0881" Properties=species:S:1:pos:R:3 pbc="T T T"
Sr 2.5440 2.2990 2.5440
Os 0.0000 0.0000 0.0000
Se 0.0000 2.2990 0.0000
Pd 0.0000 0.0000 2.5440
Pd 2.5440 0.0000 0.0000
```

---

TaOsPdSe2 | PBE | relaxed

Values from the calculation:
- Size of the total moment: 0.00 Bohr magnetons per cell
- E_form (uncorrected): 1.298 eV/atom

Cell and atoms, written as extended XYZ:
```
5
Lattice="-3.0977 -1.8622 2.9773 0.0290 -3.9835 -2.4614 3.6883 -1.6908 2.7799" Properties=species:S:1:pos:R:3 pbc="T T T"
Os 0.0000 0.0000 0.0000
Se 0.0145 -1.9918 -1.2307
Se -1.5488 -0.9311 1.4887
Pd 1.8442 -0.8454 1.3900
Ta 0.3098 -3.7683 1.6479
```

---

Th4OsPdSe2 | PBE | relaxed

Values from the calculation:
- Size of the total moment: 0.00 Bohr magnetons per cell
- E_form (uncorrected): -1.057 eV/atom

Cell and atoms, written as extended XYZ:
```
8
Lattice="4.1563 0.0000 0.0000 0.0000 7.7097 -0.3649 0.0000 2.5197 6.6885" Properties=species:S:1:pos:R:3 pbc="T T T"
Th 0.0001 7.4866 4.8728
Th 4.1563 2.7429 1.4508
Th 2.0782 6.2055 1.3818
Th 2.0782 4.0240 4.9418
Os 2.0782 3.8549 -0.1824
Pd 0.0000 5.1147 3.1618
Se 0.0000 2.5197 6.6885
Se 2.0782 1.2599 3.3442
```